1.
Ho4CdGa2Ru | GGA-PBE | optimized geometry

Properties
Calculated formation energy, eV per atom: -0.485

CIF file:
```
data_Ho4CdGa2Ru
_chemical_formula_sum 'Ho12 Cd3 Ga6 Ru3'
_cell_length_a 5.0367
_cell_length_b 5.0367
_cell_length_c 24.5804
_cell_angle_alpha 90.00
_cell_angle_beta 90.00
_cell_angle_gamma 120.00
_space_group_name_H-M_alt 'R -3 m'
_space_group_IT_number 166
_space_group_name_Hall '-R 3 2"'
loop_
_atom_site_label
_atom_site_type_symbol
_atom_site_fract_x
_atom_site_fract_y
_atom_site_fract_z
Ho1 Ho 0.0000 0.0000 0.1165
Ho2 Ho 0.0000 0.0000 0.3690
Cd1 Cd 0.0000 0.0000 0.5000
Ga1 Ga 0.0000 0.0000 0.2446
Ru1 Ru 0.0000 0.0000 0.0000
```

2.
Ca2WBr | GGA-PBE | optimized geometry

Properties
ΔE_f (raw), eV per atom: 0.884

CIF file:
```
data_Ca2WBr
_chemical_formula_sum 'Ca8 W4 Br4'
_cell_length_a 7.468
_cell_length_b 7.468
_cell_length_c 7.468
_cell_angle_alpha 90.00
_cell_angle_beta 90.00
_cell_angle_gamma 90.00
_space_group_name_H-M_alt 'F -4 3 m'
_space_group_IT_number 216
_space_group_name_Hall 'F -4 2 3'
loop_
_atom_site_label
_atom_site_type_symbol
_atom_site_fract_x
_atom_site_fract_y
_atom_site_fract_z
Ca1 Ca 0.000 0.000 0.000
Ca2 Ca 0.250 0.250 0.250
W1 W 0.250 0.250 0.750
Br1 Br 0.000 0.000 0.500
```

3.
PmSnPd | GGA-PBE | optimized geometry

Properties
Calculated formation energy, eV per atom: -0.883

CIF file:
```
data_PmSnPd
_chemical_formula_sum 'Pm1 Sn1 Pd1'
_cell_length_a 4.7334
_cell_length_b 4.7334
_cell_length_c 3.6667
_cell_angle_alpha 90.00
_cell_angle_beta 90.00
_cell_angle_gamma 120.00
_space_group_name_H-M_alt 'P -6 m 2'
_space_group_IT_number 187
_space_group_name_Hall 'P -6 2'
loop_
_atom_site_label
_atom_site_type_symbol
_atom_site_fract_x
_atom_site_fract_y
_atom_site_fract_z
Pm1 Pm 0.0000 0.0000 0.0000
Sn1 Sn 0.6667 0.3333 0.5000
Pd1 Pd 0.3333 0.6667 0.5000
```

4.
Ag4SBr2F | GGA-PBE | optimized geometry

Properties
ΔE_f (raw), eV per atom: -0.354

CIF file:
```
data_Ag4SBr2F
_chemical_formula_sum 'Ag16 S4 Br8 F4'
_cell_length_a 7.580
_cell_length_b 7.818
_cell_length_c 11.249
_cell_angle_alpha 90.00
_cell_angle_beta 90.00
_cell_angle_gamma 90.00
_space_group_name_H-M_alt 'I m m a'
_space_group_IT_number 74
_space_group_name_Hall '-I 2b 2'
loop_
_atom_site_label
_atom_site_type_symbol
_atom_site_fract_x
_atom_site_fract_y
_atom_site_fract_z
Ag1 Ag 0.000 0.024 0.238
Ag2 Ag 0.223 0.250 0.019
S1 S 0.250 0.250 0.250
Br1 Br 0.000 0.000 0.500
Br2 Br 0.250 0.250 0.750
F1 F 0.000 0.000 0.000
```

Number 1: calculated total energy -115.31 eV/cell, M_tot 0.00 μB/cell. Number 2: calculated total energy -60.37 eV/cell, M_tot 12.01 μB/cell. Number 3: calculated total energy -16.60 eV/cell, M_tot 0.00 μB/cell. Number 4: calculated total energy -94.32 eV/cell, M_tot 0.00 μB/cell.